[1]
# Al2SiPt2

A relaxed structure of Al2SiPt2 (PBE-GGA, the Alexandria database).

abc: 7.450 7.450 2.795
angles: 90.00 90.00 90.00
Space group P4/mbm (No. 127)
Unique sites:
Al: 0.154 0.346 0.000 x4
Si: 0.000 0.000 0.500 x2
Pt: 0.144 0.644 0.500 x4

Results
crystal system: tetragonal
total energy: -5.6464 eV per atom
ρ: 10.1 g/cm3
energy relative to the elements, uncorrected: -0.65 eV per atom
M_tot: 0.00 Bohr magnetons per cell

***

[2]
# Al2SiPt

A relaxed structure of Al2SiPt (PBE-GGA, the Alexandria database).

abc: 6.277 6.277 6.277
angles: 90.00 90.00 90.00
Space group F-43m (No. 216)
Unique sites:
Al: 0.000 0.000 0.000 x4
Al: 0.250 0.250 0.250 x4
Si: 0.250 0.250 0.750 x4
Pt: 0.000 0.000 0.500 x4

Results
crystal system: cubic
total energy: -4.8656 eV per atom
ρ: 7.4 g/cm3
energy relative to the elements, uncorrected: -0.13 eV per atom
M_tot: 0.00 Bohr magnetons per cell

***

[3]
# Al2SiPt

A relaxed structure of Al2SiPt (PBE-GGA, the Alexandria database).

abc: 3.0746 3.0746 23.4089
angles: 90.00 90.00 120.00
Space group R3m (No. 160, hexagonal axes)
Unique sites:
Al: 0.0000 0.0000 0.0000 x3
Al: 0.0000 0.0000 0.2428 x3
Si: 0.0000 0.0000 0.4921 x3
Pt: 0.0000 0.0000 0.7509 x3

Results
crystal system: trigonal
total energy: -4.9989 eV per atom
ρ: 7.2 g/cm3
energy relative to the elements, uncorrected: -0.26 eV per atom
M_tot: 0.00 Bohr magnetons per cell

***

[4]
# Sm3AlSi6Pt2

A relaxed structure of Sm3AlSi6Pt2 (PBE-GGA, the Alexandria database).

abc: 5.7613 5.7613 8.1811
angles: 90.00 90.00 120.00
Space group P-3m1 (No. 164)
Unique sites:
Sm: 0.0000 0.0000 0.0000 x1
Sm: 0.3333 0.6667 0.6249 x2
Al: 0.0000 0.0000 0.5000 x1
Si: 0.1928 0.3857 0.2822 x6
Pt: 0.3333 0.6667 0.0334 x2

Results
crystal system: trigonal
total energy: -5.6378 eV per atom
ρ: 7.3 g/cm3
energy relative to the elements, uncorrected: -0.43 eV per atom
M_tot: 0.00 Bohr magnetons per cell

***

[5]
# Sm3AlSi2Pt9

A relaxed structure of Sm3AlSi2Pt9 (PBE-GGA, the Alexandria database).

abc: 6.3480 6.3480 8.9447
angles: 90.00 90.00 120.00
Space group P-3m1 (No. 164)
Unique sites:
Sm: 0.0000 0.0000 0.0000 x1
Sm: 0.3333 0.6667 0.7038 x2
Al: 0.0000 0.0000 0.5000 x1
Si: 0.3333 0.6667 0.1817 x2
Pt: 0.0000 0.5000 0.0000 x3
Pt: 0.1434 0.2868 0.2827 x6

Results
crystal system: trigonal
total energy: -6.3363 eV per atom
ρ: 12.2 g/cm3
energy relative to the elements, uncorrected: -0.80 eV per atom
M_tot: 0.00 Bohr magnetons per cell

***

[6]
# Sr2Al3SiPt4

A relaxed structure of Sr2Al3SiPt4 (PBE-GGA, the Alexandria database).

abc: 4.438 4.438 9.986
angles: 90.00 90.00 90.00
Space group P-4m2 (No. 115)
Unique sites:
Sr: 0.000 0.500 0.250 x2
Al: 0.000 0.000 0.000 x1
Al: 0.000 0.500 0.624 x2
Si: 0.500 0.500 0.000 x1
Pt: 0.000 0.000 0.500 x1
Pt: 0.000 0.500 0.879 x2
Pt: 0.500 0.500 0.500 x1

Results
crystal system: tetragonal
total energy: -5.3959 eV per atom
ρ: 9.0 g/cm3
energy relative to the elements, uncorrected: -0.98 eV per atom
M_tot: 0.00 Bohr magnetons per cell

***

[7]
# Sr2AlSi4Pt3

A relaxed structure of Sr2AlSi4Pt3 (PBE-GGA, the Alexandria database).

abc: 4.252 4.252 10.373
angles: 90.00 90.00 90.00
Space group P-4m2 (No. 115)
Unique sites:
Sr: 0.000 0.500 0.246 x2
Al: 0.000 0.000 0.500 x1
Si: 0.000 0.000 0.000 x1
Si: 0.000 0.500 0.641 x2
Si: 0.500 0.500 0.000 x1
Pt: 0.000 0.500 0.881 x2
Pt: 0.500 0.500 0.500 x1

Results
crystal system: tetragonal
total energy: -5.5117 eV per atom
ρ: 8.0 g/cm3
energy relative to the elements, uncorrected: -0.82 eV per atom
M_tot: 0.00 Bohr magnetons per cell

***

[8]
# Sr2Al4Si3Pt

A relaxed structure of Sr2Al4Si3Pt (PBE-GGA, the Alexandria database).

abc: 4.420 4.420 10.392
angles: 90.00 90.00 90.00
Space group P-4m2 (No. 115)
Unique sites:
Sr: 0.000 0.500 0.243 x2
Al: 0.000 0.000 0.500 x1
Al: 0.000 0.500 0.879 x2
Al: 0.500 0.500 0.500 x1
Si: 0.000 0.000 0.000 x1
Si: 0.000 0.500 0.629 x2
Pt: 0.500 0.500 0.000 x1

Results
crystal system: tetragonal
total energy: -4.4971 eV per atom
ρ: 4.6 g/cm3
energy relative to the elements, uncorrected: -0.43 eV per atom
M_tot: 0.00 Bohr magnetons per cell

***

[9]
# SrAlSiPt3

A relaxed structure of SrAlSiPt3 (PBE-GGA, the Alexandria database).

abc: 6.929 13.102 5.706
angles: 90.00 90.00 90.00
Space group Cmcm (No. 63)
Unique sites:
Sr: 0.000 0.231 0.250 x4
Al: 0.000 0.465 0.750 x4
Si: 0.000 0.099 0.750 x4
Pt: 0.000 0.275 0.750 x4
Pt: 0.209 0.000 0.000 x8

Results
crystal system: orthorhombic
total energy: -5.6425 eV per atom
ρ: 9.3 g/cm3
energy relative to the elements, uncorrected: -0.81 eV per atom
M_tot: 0.00 Bohr magnetons per cell

***

[10]
# SrAlSiPt2

A relaxed structure of SrAlSiPt2 (PBE-GGA, the Alexandria database).

abc: 4.275 4.275 10.777
angles: 90.00 90.00 90.00
Space group I-4m2 (No. 119)
Unique sites:
Sr: 0.000 0.000 0.000 x2
Al: 0.000 0.500 0.250 x2
Si: 0.000 0.500 0.750 x2
Pt: 0.000 0.000 0.368 x4

Results
crystal system: tetragonal
total energy: -5.5182 eV per atom
ρ: 9.0 g/cm3
energy relative to the elements, uncorrected: -0.93 eV per atom
M_tot: 0.00 Bohr magnetons per cell

***

[11]
# Sr2AlSiPt6

A relaxed structure of Sr2AlSiPt6 (PBE-GGA, the Alexandria database).

abc: 5.673 6.610 6.842
angles: 73.43 65.62 64.76
Space group P-1 (No. 2)
Unique sites:
Sr: 0.239 0.211 0.311 x2
Al: 0.500 0.500 0.500 x1
Si: 0.000 0.000 0.000 x1
Pt: 0.234 0.259 0.785 x2
Pt: 0.250 0.628 0.871 x2
Pt: 0.279 0.741 0.214 x2

Results
crystal system: triclinic
total energy: -5.6832 eV per atom
ρ: 11.1 g/cm3
energy relative to the elements, uncorrected: -0.81 eV per atom
M_tot: 0.00 Bohr magnetons per cell

***

[12]
# Tb2AlSi4Pt3

A relaxed structure of Tb2AlSi4Pt3 (PBE-GGA, the Alexandria database).

abc: 4.096 4.096 10.410
angles: 90.00 90.00 90.00
Space group P-4m2 (No. 115)
Unique sites:
Tb: 0.000 0.500 0.249 x2
Al: 0.000 0.000 0.500 x1
Si: 0.000 0.000 0.000 x1
Si: 0.000 0.500 0.644 x2
Si: 0.500 0.500 0.000 x1
Pt: 0.000 0.500 0.874 x2
Pt: 0.500 0.500 0.500 x1

Results
crystal system: tetragonal
total energy: -6.2894 eV per atom
ρ: 9.9 g/cm3
energy relative to the elements, uncorrected: -1.01 eV per atom
M_tot: 0.00 Bohr magnetons per cell

***

What is the total energy in the sixth record? -5.3959 eV per atom